Density functional theory data (PBE) for a relaxed structure of Li6Hg2Rh.

## Properties
energy above the lowest structure with this stoichiometry	30	kJ/mol of formula units
volume	144.9	Å³/cell
calculated formation energy	-1.77	eV/f.u.
N(E_F)	0.4712	states/eV/atom
SG	No. 191

Cell lengths 7.8032, 7.8032, 2.7473 Å; angles 90.00, 90.00, 120.00 degrees
Closest atoms and distances in Å follow each position.
Fractional positions:
1 Li 0.0000 0.3176 0.0000  4 Li 2.48-2.75
2 Li 0.0000 0.6824 0.0000  4 Li 2.48-2.75
3 Li 0.3176 0.0000 0.0000  4 Li 2.48-2.75
4 Li 0.3176 0.3176 0.0000  4 Li 2.48-2.75
5 Li 0.6824 0.0000 0.0000  4 Li 2.48-2.75
6 Li 0.6824 0.6824 0.0000  4 Li 2.48-2.75
7 Hg 0.3333 0.6667 0.5000  2 Hg 2.75, 12 Li 3.00
8 Hg 0.6667 0.3333 0.5000  2 Hg 2.75, 12 Li 3.00
9 Rh 0.0000 0.0000 0.5000  2 Rh 2.75, 12 Li 2.83